A | The following is a DFT calculation (PBEsol) of a relaxed structure of MnAl2Tl.

Results
theoretical density = 7.61 g/cm³
volume = 68.4 Å³ per cell
spin magnetization = 2.65 μB per cell

Lattice parameters (Å, degrees): 4.741 4.741 5.200 101.44 101.44 36.73
Fractional coordinates of all 4 atoms:
Mn1 0.000 0.000 0.000
Al1 0.266 0.266 0.796
Al2 0.734 0.734 0.204
Tl1 0.500 0.500 0.500


B | The following is a DFT calculation (PBEsol) of a relaxed structure of MnAl2Tl.

Results
theoretical density = 7.48 g/cm³
volume = 69.5 Å³ per cell
spin magnetization = 2.82 μB per cell

Lattice parameters (Å, degrees): 4.764 4.764 5.211 101.60 101.60 36.98
Fractional coordinates of all 4 atoms:
Mn1 0.000 0.000 0.000
Al1 0.486 0.486 0.406
Al2 0.734 0.734 0.159
Tl1 0.249 0.249 0.691


Least stable structure among those shown: B.